# LiPuBiO5 PBE optimized geometry
data_LiPuBiO5
_chemical_formula_sum 'Li2 Pu2 Bi2 O10'
_space_group_name_H-M_alt 'P 1'
_space_group_IT_number 1
_cell_length_a 6.099
_cell_length_b 6.099
_cell_length_c 8.176
_cell_angle_alpha 108.16
_cell_angle_beta 108.16
_cell_angle_gamma 107.14
loop_
_space_group_symop_operation_xyz
'x,y,z'
loop_
_atom_site_label
_atom_site_fract_x
_atom_site_fract_y
_atom_site_fract_z
O1 0.894 0.321 0.085
O2 0.321 0.894 0.585
O3 0.240 0.338 0.605
O4 0.679 0.106 0.415
O5 0.927 0.073 0.750
O6 0.073 0.927 0.250
O7 0.760 0.662 0.395
O8 0.662 0.760 0.895
O9 0.338 0.240 0.105
O10 0.106 0.679 0.915
Li1 0.695 0.305 0.250
Li2 0.305 0.695 0.750
Bi1 0.295 0.705 0.250
Bi2 0.705 0.295 0.750
Pu1 0.000 0.000 0.000
Pu2 0.000 0.000 0.500
# * size of the total moment: 0.25 μB per atom
# * ΔE_f (raw): -2.02 eV per atom